Version P
Material: TlIn6Pb3
Method: DFT, PBE-GGA
State: optimized geometry

As for the theoretical density: 8.3 g/cm³.

The structure belongs to space group P2_1/m (No. 11); the cell edges are 10.7821, 4.9866 and 11.6715 Å and the angles 90.00°, 104.13° and 90.00°. The distinct sites, in fractional coordinates, are Tl at (0.1988, 0.2500, 0.1825), In at (0.0183, 0.2500, 0.9052), In at (0.1091, 0.2500, 0.5370), In at (0.2586, 0.7500, 0.0095), In at (0.3709, 0.2500, 0.4443), In at (0.4303, 0.7500, 0.2857), In at (0.4780, 0.2500, 0.0955), Pb at (0.0732, 0.7500, 0.7280), Pb at (0.3022, 0.2500, 0.8177) and Pb at (0.3384, 0.7500, 0.6181).

***

Version Q
Material: TlIn6Pb3
Method: DFT, PBE-GGA
State: optimized geometry

As for the theoretical density: 8.0 g/cm³.

The structure belongs to space group P-31m (No. 162); the cell edges are 6.0037, 6.0037 and 10.0554 Å and the angles 90.00°, 90.00° and 120.00°. The distinct sites, in fractional coordinates, are Tl at (0.0000, 0.0000, 0.0000), In at (0.0000, 0.3739, 0.7850), Pb at (0.0000, 0.0000, 0.5000) and Pb at (0.3333, 0.6667, 0.5000).

***

Sorted by energy, starting with the most stable: version P, version Q.

***

Version P
Material: Tl3In2Pb8
Method: DFT, PBE-GGA
State: optimized geometry

As for the theoretical density: 9.7 g/cm³.

The structure belongs to space group C2/m (No. 12); the cell edges are 13.9043, 9.2970 and 6.7384 Å and the angles 90.00°, 100.49° and 90.00°. The distinct sites, in fractional coordinates, are Tl at (0.0000, 0.0000, 0.0000), Tl at (0.0000, 0.1818, 0.5000), In at (0.1942, 0.0000, 0.7511), Pb at (0.0844, 0.5000, 0.3505), Pb at (0.1287, 0.3070, 0.9598) and Pb at (0.2187, 0.0000, 0.2762).

***

Version Q
Material: Tl3In2Pb8
Method: DFT, PBE-GGA
State: optimized geometry

As for the theoretical density: 10.0 g/cm³.

The structure belongs to space group C2/m (No. 12); the cell edges are 14.5834, 10.3226 and 5.8324 Å and the angles 90.00°, 108.68° and 90.00°. The distinct sites, in fractional coordinates, are Tl at (0.0000, 0.0000, 0.0000), Tl at (0.0000, 0.2296, 0.5000), In at (0.1668, 0.5000, 0.8379), Pb at (0.0728, 0.5000, 0.2762), Pb at (0.1732, 0.0000, 0.6272) and Pb at (0.1816, 0.2254, 0.1913).

***

Sorted by energy, starting with the most stable: version Q, version P.

***

Version P
Material: TlIn2Pb2
Method: DFT, PBE-GGA
State: optimized geometry

As for the theoretical density: 9.1 g/cm³.

The structure belongs to space group Immm (No. 71); the cell edges are 3.3208, 5.6048 and 16.5571 Å and the angles 90.00°, 90.00° and 90.00°. The distinct sites, in fractional coordinates, are Tl at (0.0000, 0.0000, 0.0000), In at (0.0000, 0.0000, 0.2120) and Pb at (0.0000, 0.5000, 0.1106).

***

Version Q
Material: TlIn2Pb2
Method: DFT, PBE-GGA
State: optimized geometry

As for the theoretical density: 9.1 g/cm³.

The structure belongs to space group P4/mbm (No. 127); the cell edges are 9.3611, 9.3611 and 3.5373 Å and the angles 90.00°, 90.00° and 90.00°. The distinct sites, in fractional coordinates, are Tl at (0.0000, 0.0000, 0.0000), In at (0.1310, 0.3690, 0.0000) and Pb at (0.1652, 0.6652, 0.5000).

***

Version R
Material: TlIn2Pb2
Method: DFT, PBE-GGA
State: optimized geometry

As for the theoretical density: 9.3 g/cm³.

The structure belongs to space group I4/mmm (No. 139); the cell edges are 3.4920, 3.4920 and 24.9215 Å and the angles 90.00°, 90.00° and 90.00°. The distinct sites, in fractional coordinates, are Tl at (0.0000, 0.0000, 0.0000), In at (0.0000, 0.0000, 0.3992) and Pb at (0.0000, 0.0000, 0.1987).

***

Sorted by energy, starting with the most stable: version R, version Q, version P.

***

Version P
Material: TlIn2Pb2
Method: DFT, PBE-GGA
State: optimized geometry

As for the theoretical density: 9.1 g/cm³.

The structure belongs to space group P4/mbm (No. 127); the cell edges are 9.1996, 9.1996 and 3.6784 Å and the angles 90.00°, 90.00° and 90.00°. The distinct sites, in fractional coordinates, are Tl at (0.0000, 0.0000, 0.0000), In at (0.1583, 0.3417, 0.5000) and Pb at (0.1386, 0.6386, 0.0000).

***

Version Q
Material: TlIn2Pb2
Method: DFT, PBE-GGA
State: optimized geometry

As for the theoretical density: 8.5 g/cm³.

The structure belongs to space group I4/mmm (No. 139); the cell edges are 4.9496, 4.9496 and 13.5703 Å and the angles 90.00°, 90.00° and 90.00°. The distinct sites, in fractional coordinates, are Tl at (0.0000, 0.0000, 0.0000), In at (0.0000, 0.0000, 0.3949) and Pb at (0.0000, 0.5000, 0.2500).

***

Sorted by energy, starting with the most stable: version P, version Q.

***

Version P
Material: Tl2In6Pb
Method: DFT, PBE-GGA
State: optimized geometry

As for the theoretical density: 8.4 g/cm³.

The structure belongs to space group C2/c (No. 15); the cell edges are 28.4985, 5.9928 and 6.0522 Å and the angles 90.00°, 96.64° and 90.00°. The distinct sites, in fractional coordinates, are Tl at (0.2213, 0.1332, 0.2142), In at (0.0575, 0.3739, 0.3275), In at (0.1128, 0.1147, 0.9546), In at (0.1630, 0.3847, 0.5898) and Pb at (0.0000, 0.1355, 0.7500).

***

Version Q
Material: Tl2In6Pb
Method: DFT, PBE-GGA
State: optimized geometry

As for the theoretical density: 8.3 g/cm³.

The structure belongs to space group P-31m (No. 162); the cell edges are 9.6060, 9.6060 and 3.2557 Å and the angles 90.00°, 90.00° and 120.00°. The distinct sites, in fractional coordinates, are Tl at (0.3333, 0.6667, 0.0000), In at (0.0000, 0.3361, 0.6878) and Pb at (0.0000, 0.0000, 0.5000).

***

Sorted by energy, starting with the most stable: version P, version Q.

***

Version P
Material: Tl3InPb3
Method: DFT, PBE-GGA
State: optimized geometry

As for the theoretical density: 10.3 g/cm³.

The structure belongs to space group P2_1/c (No. 14); the cell edges are 11.9450, 9.3397 and 8.0221 Å and the angles 90.00°, 102.97° and 90.00°. The distinct sites, in fractional coordinates, are Tl at (0.0172, 0.1832, 0.4584), Tl at (0.3917, 0.5136, 0.6078), Tl at (0.4765, 0.1741, 0.5356), In at (0.1055, 0.5211, 0.3890), Pb at (0.1727, 0.5909, 0.7988), Pb at (0.2484, 0.2379, 0.7513) and Pb at (0.3182, 0.6144, 0.1964).

***

Version Q
Material: Tl3InPb3
Method: DFT, PBE-GGA
State: optimized geometry

As for the theoretical density: 9.1 g/cm³.

The structure belongs to space group P2_1/m (No. 11); the cell edges are 9.8798, 5.8126 and 9.8827 Å and the angles 90.00°, 119.99° and 90.00°. The distinct sites, in fractional coordinates, are Tl at (0.0564, 0.2500, 0.2770), Tl at (0.2772, 0.7500, 0.7208), Tl at (0.2795, 0.7500, 0.0567), In at (0.1669, 0.2500, 0.8338), Pb at (0.2605, 0.7500, 0.3799), Pb at (0.3797, 0.2500, 0.6192) and Pb at (0.3809, 0.2500, 0.2609).

***

Sorted by energy, starting with the most stable: version P, version Q.

***

Version P
Material: TlIn5Pb2
Method: DFT, PBE-GGA
State: optimized geometry

As for the theoretical density: 8.5 g/cm³.

The structure belongs to space group I4/mmm (No. 139); the cell edges are 8.3020, 8.3020 and 6.7485 Å and the angles 90.00°, 90.00° and 90.00°. The distinct sites, in fractional coordinates, are Tl at (0.0000, 0.0000, 0.0000), In at (0.0000, 0.0000, 0.5000), In at (0.2500, 0.2500, 0.2500) and Pb at (0.0000, 0.5000, 0.0000).

***

Version Q
Material: TlIn5Pb2
Method: DFT, PBE-GGA
State: optimized geometry

As for the theoretical density: 8.6 g/cm³.

The structure belongs to space group Pbam (No. 55); the cell edges are 6.6755, 13.5312 and 5.0999 Å and the angles 90.00°, 90.00° and 90.00°. The distinct sites, in fractional coordinates, are Tl at (0.0000, 0.0000, 0.0000), In at (0.0000, 0.5000, 0.0000), In at (0.0020, 0.2530, 0.0000), In at (0.2503, 0.3758, 0.5000) and Pb at (0.2483, 0.6284, 0.5000).

***

Sorted by energy, starting with the most stable: version Q, version P.

***

Version P
Material: Tl7In2Pb2
Method: DFT, PBE-GGA
State: optimized geometry

As for the theoretical density: 10.0 g/cm³.

The structure belongs to space group C2/m (No. 12); the cell edges are 9.1252, 9.5947 and 8.1223 Å and the angles 90.00°, 103.92° and 90.00°. The distinct sites, in fractional coordinates, are Tl at (0.0000, 0.0000, 0.0000), Tl at (0.1649, 0.0000, 0.4459), Tl at (0.1966, 0.2992, 0.1853), In at (0.1159, 0.5000, 0.8513) and Pb at (0.0000, 0.3165, 0.5000).

***

Version Q
Material: Tl7In2Pb2
Method: DFT, PBE-GGA
State: optimized geometry

As for the theoretical density: 10.0 g/cm³.

The structure belongs to space group Imm2 (No. 44); the cell edges are 5.4373, 15.9358 and 7.9610 Å and the angles 90.00°, 90.00° and 90.00°. The distinct sites, in fractional coordinates, are Tl at (0.0000, 0.0000, 0.0000), Tl at (0.0000, 0.1577, 0.2931), Tl at (0.0000, 0.3431, 0.5197), Tl at (0.0000, 0.3462, 0.0741), In at (0.0000, 0.1866, 0.7948), Pb at (0.0000, 0.0000, 0.5807) and Pb at (0.0000, 0.5000, 0.7973).

***

Sorted by energy, starting with the most stable: version Q, version P.